1.
! Ba8Be, optimized geometry, DFT PBE; values from VASP
&SYSTEM
  ibrav = 0, nat = 9, ntyp = 2
/
ATOMIC_SPECIES
Ba 137.33 Ba.upf
Be 9.01 Be.upf
CELL_PARAMETERS angstrom
-0.581 4.030 8.405
-4.560 -0.185 -8.148
-2.299 -8.624 2.748
ATOMIC_POSITIONS crystal
Ba 0.342 0.658 0.000
Ba 0.658 0.342 0.000
Ba 0.000 0.308 0.308
Ba 0.658 0.658 0.316
Ba 0.308 0.000 0.308
Ba 0.342 0.342 0.684
Ba 0.000 0.692 0.692
Ba 0.692 0.000 0.692
Be 0.000 0.000 0.000
! total magnetic moment: 0.000 μB/atom
! SG: I4/mmm, No. 139
! energy of formation: 0.27 eV per atom

2.
! BaBe2, optimized geometry, DFT PBE; values from VASP
&SYSTEM
  ibrav = 0, nat = 6, ntyp = 2
/
ATOMIC_SPECIES
Ba 137.33 Ba.upf
Be 9.01 Be.upf
CELL_PARAMETERS angstrom
2.018 -9.630 0.000
2.018 9.630 0.000
0.000 0.000 3.993
ATOMIC_POSITIONS crystal
Ba 0.855 0.145 0.750
Ba 0.145 0.855 0.250
Be 0.013 0.987 0.750
Be 0.525 0.475 0.750
Be 0.475 0.525 0.250
Be 0.987 0.013 0.250
! total magnetic moment: 0.000 μB/atom
! SG: Cmcm, No. 63
! distance to the lowest polymorph of the same formula: 79 meV/atom
! energy of formation: 0.39 eV per atom

3.
! BaBe3, optimized geometry, DFT PBE; values from VASP
&SYSTEM
  ibrav = 0, nat = 4, ntyp = 2
/
ATOMIC_SPECIES
Be 9.01 Be.upf
Ba 137.33 Ba.upf
CELL_PARAMETERS angstrom
-0.939 4.626 -3.831
-4.923 -3.544 -0.403
2.614 2.141 3.240
ATOMIC_POSITIONS crystal
Be 0.583 0.500 0.083
Be 0.717 0.134 0.583
Be 0.450 0.866 0.583
Ba 0.083 0.000 0.083
! total magnetic moment: 0.000 μB/atom
! SG: C2/m, No. 12
! distance to the lowest polymorph of the same formula: 448 meV/atom
! energy of formation: 0.63 eV per atom

4.
! BaBe, optimized geometry, DFT PBE; values from VASP
&SYSTEM
  ibrav = 0, nat = 4, ntyp = 2
/
ATOMIC_SPECIES
Be 9.01 Be.upf
Ba 137.33 Ba.upf
CELL_PARAMETERS angstrom
4.294 0.000 0.000
0.000 5.594 0.000
0.000 2.800 4.894
ATOMIC_POSITIONS crystal
Be 0.000 0.373 0.379
Be 0.500 0.377 0.371
Ba 0.000 0.041 0.043
Ba 0.500 0.709 0.707
! total magnetic moment: 0.003 μB/atom
! SG: Cmcm, No. 63
! distance to the lowest polymorph of the same formula: 0 meV/atom
! energy of formation: 0.36 eV per atom

5.
! Ba5Be3, optimized geometry, DFT PBE; values from VASP
&SYSTEM
  ibrav = 0, nat = 8, ntyp = 2
/
ATOMIC_SPECIES
Ba 137.33 Ba.upf
Be 9.01 Be.upf
CELL_PARAMETERS angstrom
4.553 -5.779 0.000
4.553 5.779 0.000
0.000 0.000 5.562
ATOMIC_POSITIONS crystal
Ba 0.000 0.000 0.000
Ba 0.000 0.500 0.000
Ba 0.500 0.000 0.000
Ba 0.302 0.302 0.500
Ba 0.698 0.698 0.500
Be 0.500 0.500 0.000
Be 0.805 0.195 0.500
Be 0.195 0.805 0.500
! total magnetic moment: 0.000 μB/atom
! SG: Cmmm, No. 65
! energy of formation: 0.57 eV per atom

6.
! BaBe3, optimized geometry, DFT PBE; values from VASP
&SYSTEM
  ibrav = 0, nat = 8, ntyp = 2
/
ATOMIC_SPECIES
Ba 137.33 Ba.upf
Be 9.01 Be.upf
CELL_PARAMETERS angstrom
4.938 5.401 -0.863
-6.057 1.119 4.045
1.750 -1.131 2.933
ATOMIC_POSITIONS crystal
Ba 0.333 0.667 0.750
Ba 0.667 0.333 0.250
Be 0.905 0.095 0.250
Be 0.095 0.905 0.750
Be 0.904 0.810 0.250
Be 0.096 0.190 0.750
Be 0.190 0.096 0.250
Be 0.810 0.904 0.750
! total magnetic moment: 0.003 μB/atom
! SG: Cmcm, No. 63
! distance to the lowest polymorph of the same formula: 346 meV/atom
! energy of formation: 0.53 eV per atom

7.
! Ba5Be, optimized geometry, DFT PBE; values from VASP
&SYSTEM
  ibrav = 0, nat = 6, ntyp = 2
/
ATOMIC_SPECIES
Ba 137.33 Ba.upf
Be 9.01 Be.upf
CELL_PARAMETERS angstrom
-5.613 -2.143 -4.938
-2.001 -3.170 -6.814
-2.545 -10.405 0.798
ATOMIC_POSITIONS crystal
Ba 0.378 0.378 0.879
Ba 0.000 0.000 0.500
Ba 0.622 0.622 0.121
Ba 0.661 0.661 0.734
Ba 0.339 0.339 0.266
Be 0.000 0.000 0.000
! total magnetic moment: 0.000 μB/atom
! SG: C2/m, No. 12
! distance to the lowest polymorph of the same formula: 0 meV/atom
! energy of formation: 0.22 eV per atom

8.
! BaBe4, optimized geometry, DFT PBE; values from VASP
&SYSTEM
  ibrav = 0, nat = 5, ntyp = 2
/
ATOMIC_SPECIES
Be 9.01 Be.upf
Ba 137.33 Ba.upf
CELL_PARAMETERS angstrom
5.752 0.000 0.000
0.000 5.752 0.000
0.000 0.000 5.752
ATOMIC_POSITIONS crystal
Be 0.000 0.000 0.000
Be 0.500 0.000 0.500
Be 0.000 0.500 0.500
Be 0.500 0.500 0.000
Ba 0.500 0.500 0.500
! total magnetic moment: 0.135 μB/atom
! SG: Pm-3m, No. 221
! distance to the lowest polymorph of the same formula: 2195 meV/atom
! energy of formation: 2.60 eV per atom

9.
! BaBe2, optimized geometry, DFT PBE; values from VASP
&SYSTEM
  ibrav = 0, nat = 3, ntyp = 2
/
ATOMIC_SPECIES
Be 9.01 Be.upf
Ba 137.33 Ba.upf
CELL_PARAMETERS angstrom
3.213 0.000 0.000
0.000 3.213 0.000
0.000 0.000 5.960
ATOMIC_POSITIONS crystal
Be 0.000 0.500 0.500
Be 0.500 0.000 0.500
Ba 0.000 0.000 0.000
! total magnetic moment: 0.000 μB/atom
! SG: P4/mmm, No. 123
! distance to the lowest polymorph of the same formula: 439 meV/atom
! energy of formation: 0.75 eV per atom

10.
! Ba3Be4, optimized geometry, DFT PBE; values from VASP
&SYSTEM
  ibrav = 0, nat = 7, ntyp = 2
/
ATOMIC_SPECIES
Ba 137.33 Ba.upf
Be 9.01 Be.upf
CELL_PARAMETERS angstrom
3.933 -6.812 0.000
3.933 6.812 0.000
0.000 0.000 4.398
ATOMIC_POSITIONS crystal
Ba 0.000 0.500 0.000
Ba 0.500 0.500 0.000
Ba 0.500 0.000 0.000
Be 0.000 0.000 0.253
Be 0.000 0.000 0.747
Be 0.667 0.333 0.500
Be 0.333 0.667 0.500
! total magnetic moment: 0.000 μB/atom
! SG: P6/mmm, No. 191
! energy of formation: 0.98 eV per atom

11.
! BaBe3, optimized geometry, DFT PBE; values from VASP
&SYSTEM
  ibrav = 0, nat = 4, ntyp = 2
/
ATOMIC_SPECIES
Be 9.01 Be.upf
Ba 137.33 Ba.upf
CELL_PARAMETERS angstrom
5.486 -0.002 -0.007
-2.456 4.906 -0.007
-2.456 -3.974 2.877
ATOMIC_POSITIONS crystal
Be 0.500 0.000 0.500
Be 0.500 0.500 0.000
Be 0.000 0.500 0.500
Ba 0.000 0.000 0.000
! total magnetic moment: 0.000 μB/atom
! SG: R-3m, No. 166
! distance to the lowest polymorph of the same formula: 1176 meV/atom
! energy of formation: 1.36 eV per atom

12.
! BaBe, optimized geometry, DFT PBE; values from VASP
&SYSTEM
  ibrav = 0, nat = 2, ntyp = 2
/
ATOMIC_SPECIES
Ba 137.33 Ba.upf
Be 9.01 Be.upf
CELL_PARAMETERS angstrom
3.955 0.000 0.000
0.000 3.955 0.000
0.000 0.000 3.955
ATOMIC_POSITIONS crystal
Ba 0.500 0.500 0.500
Be 0.000 0.000 0.000
! total magnetic moment: 0.000 μB/atom
! SG: Pm-3m, No. 221
! distance to the lowest polymorph of the same formula: 256 meV/atom
! energy of formation: 0.62 eV per atom